Entry 1:
A plane-wave DFT calculation with SCAN was carried out for a PBEsol-optimized structure of Be2Pd2Au.

Cell: 6.631 6.631 2.786 Å, 90.00 90.00 90.00°
Positions (direct):
Be 0.136 0.364 0.000
Be 0.364 0.864 0.000
Be 0.636 0.136 0.000
Be 0.864 0.636 0.000
Pd 0.155 0.655 0.500
Pd 0.345 0.155 0.500
Pd 0.655 0.845 0.500
Pd 0.845 0.345 0.500
Au 0.000 0.000 0.000
Au 0.500 0.500 0.000

For the energy relative to the elements, the calculation gives -246.5 kJ/mol of formula units. For the final energy, the calculation gives -29.193 eV per atom. As for the total magnetization: 0.00 μB/cell. The space group is P4/mbm (127).

=====

Entry 2:
A plane-wave DFT calculation with SCAN was carried out for a PBEsol-optimized structure of Cr2OsAu.

Cell: 4.610 4.610 4.664 Å, 100.45 100.45 34.67°
Positions (direct):
Cr 0.246 0.246 0.191
Cr 0.754 0.754 0.809
Os 0.500 0.500 0.000
Au 0.000 0.000 0.500

For the energy relative to the elements, the calculation gives 131.2 kJ/mol of formula units. For the final energy, the calculation gives -44.112 eV per atom. As for the total magnetization: 0.00 μB/cell. The space group is C2/m (12).

=====

Entry 3:
A plane-wave DFT calculation with SCAN was carried out for a PBEsol-optimized structure of SbIrBr2.

Cell: 3.830 5.409 5.409 Å, 58.52 90.00 90.00°
Positions (direct):
Sb 0.000 0.000 0.000
Ir 0.500 0.174 0.174
Br 0.000 0.373 0.373
Br 0.500 0.696 0.696

For the final energy, the calculation gives -36.848 eV per atom. The uncorrected formation energy is -28 meV per atom. As for the total magnetization: 0.00 μB/cell. The space group is Amm2 (38).

=====

Entry 4:
A plane-wave DFT calculation with SCAN was carried out for a PBEsol-optimized structure of K2SrCo.

Cell: 3.967 3.967 10.687 Å, 90.00 90.00 90.17°
Positions (direct):
K 0.000 0.000 0.175
K 0.000 0.000 0.825
Sr 0.500 0.500 0.500
Co 0.500 0.500 0.000

For the energy relative to the elements, the calculation gives 295.7 kJ/mol of formula units. For the final energy, the calculation gives -13.293 eV per atom. As for the total magnetization: 2.26 μB/cell. The space group is Cmmm (65).